Entry 1:
The following is a GGA-PBE calculation of a geometry-optimized PbSe3S8 structure, from Alexandria.

## Properties
The value obtained for the electronic total energy is -3.9239 eV per atom. Its uncorrected formation energy is 0.008 eV/atom. As for the total magnetic moment: 0.00 Bohr magnetons per cell.

POSCAR file:
```
PbSe3S8
1.0
6.285 0.000 0.000
-2.257 7.453 0.000
-1.928 -1.195 8.336
Pb Se S
1 3 8
Cartesian
0.000 0.000 0.000
2.181 3.775 0.008
0.339 6.749 4.042
3.402 3.637 4.716
-2.336 5.927 2.231
0.794 -0.943 8.271
2.116 1.817 1.122
0.234 4.893 5.281
1.230 3.455 4.209
4.176 4.595 0.676
4.397 0.364 4.867
3.750 1.889 6.079
```

***

Entry 2:
The following is a GGA-PBE calculation of a geometry-optimized ScReMo structure, from Alexandria.

## Properties
As for the excess energy over the best structure of this formula in the dataset: 1.25 eV per formula unit. The value obtained for the electronic total energy is -9.6481 eV per atom. As for the total magnetic moment: 0.00 Bohr magnetons per cell.

POSCAR file:
```
ScReMo
1.0
-1.357 2.318 4.016
1.357 -2.318 4.016
1.357 2.318 -4.016
Sc Re Mo
1 1 1
Cartesian
0.000 0.000 0.000
0.000 0.000 2.728
0.000 0.000 5.350
```

***

Entry 3:
The following is a GGA-PBE calculation of a geometry-optimized La8PrY2 structure, from Alexandria.

## Properties
As for the excess energy over the best structure of this formula in the dataset: 1.11 eV per formula unit. The value obtained for the electronic total energy is -5.0773 eV per atom. As for the total magnetic moment: 0.00 Bohr magnetons per cell.

POSCAR file:
```
La8PrY2
1.0
4.665 -8.511 0.000
4.665 8.511 0.000
-3.518 0.000 5.028
La Pr Y
8 1 2
Cartesian
-0.392 2.055 3.466
4.665 5.025 0.000
-0.392 -2.055 3.466
3.243 0.000 1.006
2.569 0.000 4.022
6.204 2.055 1.562
4.665 -5.025 0.000
6.204 -2.055 1.562
0.000 0.000 0.000
2.906 3.207 2.514
2.906 -3.207 2.514
```

***

Entry 4:
The following is a GGA-PBE calculation of a geometry-optimized LiNd3Se4 structure, from Alexandria.

## Properties
As for the excess energy over the best structure of this formula in the dataset: 0.12 eV per formula unit. The value obtained for the electronic total energy is -5.5333 eV per atom. Its uncorrected formation energy is -1.764 eV/atom. As for the total magnetic moment: 0.00 Bohr magnetons per cell.

POSCAR file:
```
LiNd3Se4
1.0
4.190 -5.919 0.000
4.190 5.919 0.000
0.000 0.000 4.188
Li Nd Se
1 3 4
Cartesian
0.000 0.000 0.000
2.095 2.959 2.094
2.095 -2.959 2.094
4.190 0.000 0.000
2.015 0.000 2.094
4.190 3.040 0.000
4.190 -3.040 0.000
6.365 0.000 2.094
```

***

- total magnetic moment of number 3 (La8PrY2)?
  0.00 Bohr magnetons per cell

***

- Among the records above, which one has the lowest electronic total energy?
  ScReMo

***

- Look up the electronic total energy of the second one.
  -9.6481 eV per atom